# LiLaAl4 PBE optimized geometry
data_LiLaAl4
_chemical_formula_sum 'Li1 La1 Al4'
_cell_length_a 5.6062
_cell_length_b 5.6062
_cell_length_c 5.6062
_cell_angle_alpha 60.00
_cell_angle_beta 60.00
_cell_angle_gamma 60.00
_symmetry_space_group_name_H-M 'P 1'
_symmetry_Int_Tables_number 1
loop_
_symmetry_equiv_pos_as_xyz
'x,y,z'
loop_
_atom_site_label
_atom_site_fract_x
_atom_site_fract_y
_atom_site_fract_z
Li1 0.0000 0.0000 0.0000
La1 0.2500 0.2500 0.2500
Al1 0.1267 0.6244 0.6244
Al2 0.6244 0.1267 0.6244
Al3 0.6244 0.6244 0.1267
Al4 0.6244 0.6244 0.6244
# Energy of formation: -0.256 eV per atom

=====

# Li2LaAl PBE optimized geometry
data_Li2LaAl
_chemical_formula_sum 'Li2 La1 Al1'
_cell_length_a 3.4375
_cell_length_b 3.4375
_cell_length_c 7.8836
_cell_angle_alpha 90.00
_cell_angle_beta 90.00
_cell_angle_gamma 90.00
_symmetry_space_group_name_H-M 'P 1'
_symmetry_Int_Tables_number 1
loop_
_symmetry_equiv_pos_as_xyz
'x,y,z'
loop_
_atom_site_label
_atom_site_fract_x
_atom_site_fract_y
_atom_site_fract_z
Li1 0.0000 0.0000 0.0000
Li2 0.5000 0.5000 0.2035
La1 0.5000 0.5000 0.6575
Al1 0.0000 0.0000 0.3888
# Energy of formation: -0.075 eV per atom

=====

# Li2LaAl PBE optimized geometry
data_Li2LaAl
_chemical_formula_sum 'Li4 La2 Al2'
_cell_length_a 5.0982
_cell_length_b 5.1074
_cell_length_c 7.2045
_cell_angle_alpha 90.00
_cell_angle_beta 90.00
_cell_angle_gamma 90.00
_symmetry_space_group_name_H-M 'P 1'
_symmetry_Int_Tables_number 1
loop_
_symmetry_equiv_pos_as_xyz
'x,y,z'
loop_
_atom_site_label
_atom_site_fract_x
_atom_site_fract_y
_atom_site_fract_z
Li1 0.0000 0.0000 0.0000
Li2 0.0000 0.5000 0.2500
Li3 0.5000 0.0000 0.7500
Li4 0.5000 0.5000 0.5000
La1 0.0000 0.0000 0.4996
La2 0.5000 0.5000 0.9996
Al1 0.0000 0.5000 0.7492
Al2 0.5000 0.0000 0.2492
# Energy of formation: -0.116 eV per atom

=====

# Li2LaAl PBE optimized geometry
data_Li2LaAl
_chemical_formula_sum 'Li2 La1 Al1'
_cell_length_a 3.0613
_cell_length_b 5.0889
_cell_length_c 5.9448
_cell_angle_alpha 90.00
_cell_angle_beta 93.27
_cell_angle_gamma 90.00
_symmetry_space_group_name_H-M 'P 1'
_symmetry_Int_Tables_number 1
loop_
_symmetry_equiv_pos_as_xyz
'x,y,z'
loop_
_atom_site_label
_atom_site_fract_x
_atom_site_fract_y
_atom_site_fract_z
Li1 0.2142 0.0000 0.2955
Li2 0.7858 0.0000 0.7045
La1 0.5000 0.5000 0.0000
Al1 0.0000 0.5000 0.5000
# Energy of formation: -0.018 eV per atom

=====

# LiLa4Al PBE optimized geometry
data_LiLa4Al
_chemical_formula_sum 'Li1 La4 Al1'
_cell_length_a 5.0728
_cell_length_b 5.0982
_cell_length_c 8.2083
_cell_angle_alpha 90.09
_cell_angle_beta 90.10
_cell_angle_gamma 90.00
_symmetry_space_group_name_H-M 'P 1'
_symmetry_Int_Tables_number 1
loop_
_symmetry_equiv_pos_as_xyz
'x,y,z'
loop_
_atom_site_label
_atom_site_fract_x
_atom_site_fract_y
_atom_site_fract_z
Li1 0.0000 0.0000 0.0000
La1 0.0011 0.4993 0.7314
La2 0.4996 0.0013 0.7296
La3 0.5004 0.9987 0.2704
La4 0.9989 0.5007 0.2686
Al1 0.5000 0.5000 0.5000
# Energy of formation: 0.156 eV per atom
# Energy relative to the lowest polymorph listed for this composition: 243.5 meV per atom

=====

# Li2La4Al PBE optimized geometry
data_Li2La4Al
_chemical_formula_sum 'Li2 La4 Al1'
_cell_length_a 9.1223
_cell_length_b 9.1223
_cell_length_c 9.1223
_cell_angle_alpha 33.65
_cell_angle_beta 33.65
_cell_angle_gamma 33.65
_symmetry_space_group_name_H-M 'P 1'
_symmetry_Int_Tables_number 1
loop_
_symmetry_equiv_pos_as_xyz
'x,y,z'
loop_
_atom_site_label
_atom_site_fract_x
_atom_site_fract_y
_atom_site_fract_z
Li1 0.2367 0.2367 0.2367
Li2 0.7633 0.7633 0.7633
La1 0.1145 0.1145 0.1145
La2 0.3706 0.3706 0.3706
La3 0.6294 0.6294 0.6294
La4 0.8855 0.8855 0.8855
Al1 0.5000 0.5000 0.5000
# Energy of formation: 0.052 eV per atom

=====

# LiLa2Al PBE optimized geometry
data_LiLa2Al
_chemical_formula_sum 'Li1 La2 Al1'
_cell_length_a 3.6011
_cell_length_b 4.3973
_cell_length_c 7.2039
_cell_angle_alpha 90.00
_cell_angle_beta 90.06
_cell_angle_gamma 90.00
_symmetry_space_group_name_H-M 'P 1'
_symmetry_Int_Tables_number 1
loop_
_symmetry_equiv_pos_as_xyz
'x,y,z'
loop_
_atom_site_label
_atom_site_fract_x
_atom_site_fract_y
_atom_site_fract_z
Li1 0.0000 0.0000 0.0000
La1 0.4994 0.5000 0.2790
La2 0.5006 0.5000 0.7210
Al1 0.0000 0.0000 0.5000
# Energy of formation: -0.148 eV per atom

=====

# Li4LaAl4 PBE optimized geometry
data_Li4LaAl4
_chemical_formula_sum 'Li4 La1 Al4'
_cell_length_a 6.6776
_cell_length_b 6.6776
_cell_length_c 6.6776
_cell_angle_alpha 96.84
_cell_angle_beta 96.84
_cell_angle_gamma 139.62
_symmetry_space_group_name_H-M 'P 1'
_symmetry_Int_Tables_number 1
loop_
_symmetry_equiv_pos_as_xyz
'x,y,z'
loop_
_atom_site_label
_atom_site_fract_x
_atom_site_fract_y
_atom_site_fract_z
Li1 0.1474 0.7563 0.9037
Li2 0.2437 0.1474 0.3911
Li3 0.7563 0.8526 0.6089
Li4 0.8526 0.2437 0.0963
La1 0.5000 0.5000 0.0000
Al1 0.1239 0.4213 0.5452
Al2 0.4213 0.8761 0.2974
Al3 0.5787 0.1239 0.7026
Al4 0.8761 0.5787 0.4548
# Energy of formation: -0.075 eV per atom

=====

# Li3LaAl9 PBE optimized geometry
data_Li3LaAl9
_chemical_formula_sum 'Li3 La1 Al9'
_cell_length_a 7.1641
_cell_length_b 7.1641
_cell_length_c 7.0451
_cell_angle_alpha 97.63
_cell_angle_beta 97.63
_cell_angle_gamma 137.25
_symmetry_space_group_name_H-M 'P 1'
_symmetry_Int_Tables_number 1
loop_
_symmetry_equiv_pos_as_xyz
'x,y,z'
loop_
_atom_site_label
_atom_site_fract_x
_atom_site_fract_y
_atom_site_fract_z
Li1 0.0000 0.0000 0.0000
Li2 0.0000 0.5000 0.5000
Li3 0.5000 0.0000 0.5000
La1 0.5000 0.5000 0.5000
Al1 0.0070 0.7803 0.2769
Al2 0.1462 0.5007 0.1477
Al3 0.2197 0.9930 0.7231
Al4 0.4993 0.8538 0.8523
Al5 0.5000 0.5000 0.0000
Al6 0.5007 0.1462 0.1477
Al7 0.7803 0.0070 0.2769
Al8 0.8538 0.4993 0.8523
Al9 0.9930 0.2197 0.7231
# Energy of formation: -0.199 eV per atom

=====

# Li2LaAl9 PBE optimized geometry
data_Li2LaAl9
_chemical_formula_sum 'Li2 La1 Al9'
_cell_length_a 9.3074
_cell_length_b 9.3074
_cell_length_c 9.3074
_cell_angle_alpha 34.73
_cell_angle_beta 34.73
_cell_angle_gamma 34.73
_symmetry_space_group_name_H-M 'P 1'
_symmetry_Int_Tables_number 1
loop_
_symmetry_equiv_pos_as_xyz
'x,y,z'
loop_
_atom_site_label
_atom_site_fract_x
_atom_site_fract_y
_atom_site_fract_z
Li1 0.1433 0.1433 0.1433
Li2 0.8567 0.8567 0.8567
La1 0.0000 0.0000 0.0000
Al1 0.0775 0.5890 0.5890
Al2 0.3348 0.3348 0.3348
Al3 0.4110 0.4110 0.9225
Al4 0.4110 0.9225 0.4110
Al5 0.5000 0.5000 0.5000
Al6 0.5890 0.0775 0.5890
Al7 0.5890 0.5890 0.0775
Al8 0.6652 0.6652 0.6652
Al9 0.9225 0.4110 0.4110
# Energy of formation: -0.147 eV per atom

=====

# LiLa2Al PBE optimized geometry
data_LiLa2Al
_chemical_formula_sum 'Li1 La2 Al1'
_cell_length_a 3.4641
_cell_length_b 4.7802
_cell_length_c 6.6777
_cell_angle_alpha 90.00
_cell_angle_beta 90.00
_cell_angle_gamma 90.00
_symmetry_space_group_name_H-M 'P 1'
_symmetry_Int_Tables_number 1
loop_
_symmetry_equiv_pos_as_xyz
'x,y,z'
loop_
_atom_site_label
_atom_site_fract_x
_atom_site_fract_y
_atom_site_fract_z
Li1 0.0000 0.0000 0.0000
La1 0.0000 0.0000 0.4499
La2 0.5000 0.5000 0.7473
Al1 0.5000 0.5000 0.2379
# Energy of formation: -0.010 eV per atom

=====

# Li2LaAl PBE optimized geometry
data_Li2LaAl
_chemical_formula_sum 'Li2 La1 Al1'
_cell_length_a 5.2997
_cell_length_b 3.4568
_cell_length_c 5.3870
_cell_angle_alpha 90.00
_cell_angle_beta 90.27
_cell_angle_gamma 90.00
_symmetry_space_group_name_H-M 'P 1'
_symmetry_Int_Tables_number 1
loop_
_symmetry_equiv_pos_as_xyz
'x,y,z'
loop_
_atom_site_label
_atom_site_fract_x
_atom_site_fract_y
_atom_site_fract_z
Li1 0.0000 0.0000 0.0000
Li2 0.5000 0.5000 0.0000
La1 0.0000 0.5000 0.5000
Al1 0.5000 0.0000 0.5000
# Energy of formation: 0.021 eV per atom

=====

# LiLa2Al PBE optimized geometry
data_LiLa2Al
_chemical_formula_sum 'Li2 La4 Al2'
_cell_length_a 3.7404
_cell_length_b 5.3034
_cell_length_c 10.8071
_cell_angle_alpha 90.00
_cell_angle_beta 90.00
_cell_angle_gamma 90.00
_symmetry_space_group_name_H-M 'P 1'
_symmetry_Int_Tables_number 1
loop_
_symmetry_equiv_pos_as_xyz
'x,y,z'
loop_
_atom_site_label
_atom_site_fract_x
_atom_site_fract_y
_atom_site_fract_z
Li1 0.0000 0.0000 0.0000
Li2 0.5000 0.5000 0.5000
La1 0.0000 0.0000 0.4491
La2 0.0000 0.5000 0.2275
La3 0.5000 0.0000 0.7275
La4 0.5000 0.5000 0.9491
Al1 0.0000 0.5000 0.6793
Al2 0.5000 0.0000 0.1793
# Energy of formation: -0.143 eV per atom